The following is a DFT calculation (PBE) of a relaxed Y2CdCl crystal.

For the formation energy from raw total energies, the calculation gives -795 meV per atom. As for the distance to the lowest polymorph of the same formula: 0.000 eV/atom. The calculation puts the volume at 106.8 Å³ per cell.

It has space group P4/mmm (No. 123), with a = 5.444 Å, b = 5.444 Å, c = 3.602 Å, α = 90.00°, β = 90.00° and γ = 90.00°. The asymmetric unit holds Y at (0.000, 0.500, 0.000), Cd at (0.000, 0.000, 0.500) and Cl at (0.500, 0.500, 0.000).

=====

The following is a DFT calculation (PBE) of a relaxed La2MoBr crystal.

For the formation energy from raw total energies, the calculation gives -248 meV per atom. As for the distance to the lowest polymorph of the same formula: 0.123 eV/atom. The calculation puts the volume at 341.3 Å³ per cell.

It has space group R-3m (No. 166, hexagonal axes), with a = 3.7868 Å, b = 3.7868 Å, c = 27.4812 Å, α = 90.00°, β = 90.00° and γ = 120.00°. The asymmetric unit holds La at (0.0000, 0.0000, 0.2412), Mo at (0.0000, 0.0000, 0.5000) and Br at (0.0000, 0.0000, 0.0000).

=====

The following is a DFT calculation (PBE) of a relaxed Re4AsPb crystal.

The calculation puts the volume at 427.3 Å³ per cell.

It has space group F-43m (No. 216), with a = 7.532 Å, b = 7.532 Å, c = 7.532 Å, α = 90.00°, β = 90.00° and γ = 90.00°. The asymmetric unit holds Re at (0.124, 0.124, 0.124), As at (0.250, 0.250, 0.750) and Pb at (0.000, 0.000, 0.500).

=====

The following is a DFT calculation (PBE) of a relaxed TeP2IrO crystal.

For the formation energy from raw total energies, the calculation gives 142 meV per atom. As for the distance to the lowest polymorph of the same formula: 0.000 eV/atom. The calculation puts the volume at 89.0 Å³ per cell.

It has space group P4/mmm (No. 123), with a = 4.869 Å, b = 4.869 Å, c = 3.753 Å, α = 90.00°, β = 90.00° and γ = 90.00°. The asymmetric unit holds Te at (0.000, 0.000, 0.000), P at (0.000, 0.500, 0.500), Ir at (0.500, 0.500, 0.500) and O at (0.500, 0.500, 0.000).

=====

For reference, Fermi-level density of states by record: 0.959; 0.967; 1.101; 0.685 states/eV/atom.
For reference, raw total energy by record: -4.72; -5.84; -8.80; -5.41 eV per atom.